Density functional theory data (GGA+U) for a relaxed structure of FeSO3.

## Properties
The symmetry is Pm-3m (221). As for the mass density: 4.61 g/cm3. For the total energy, the calculation gives -4.51 eV per atom. As for the density of states at the Fermi level: 0.600 states/eV per atom. As for the crystal system: cubic.

Lattice parameters (Å, degrees): 3.6576 3.6576 3.6576 90.00 90.00 90.00
Element x y z (fractional)
Fe (0.0000, 0.0000, 0.0000)
S (0.5000, 0.5000, 0.5000)
O (0.0000, 0.0000, 0.5000)
O (0.0000, 0.5000, 0.0000)
O (0.5000, 0.0000, 0.0000)